Record 1
InSbAu2 | meta-GGA SCAN | single point on PBEsol structure

Values from the calculation:
Space-group type: Pmmm (47)
Density of states at the Fermi level: 1.44 states/eV/cell
Size of the total moment: 0.00 μB/f.u.
Relative energy among the computed polymorphs: 0.000 eV per atom
Formation energy from raw total energies: -0.211 eV/atom

Cell: 3.9972 3.9364 5.6689 Å, 90.00 90.00 90.00°
Atoms (fractional coordinates):
In (0.0000, 0.0000, 0.0000)
Au (0.5000, 0.5000, 0.0000)
Au (0.0000, 0.0000, 0.5000)
Sb (0.5000, 0.5000, 0.5000)

Record 2
InSbAu2 | meta-GGA SCAN | single point on PBEsol structure

Values from the calculation:
Space-group type: P4mm (99)
Density of states at the Fermi level: 1.78 states/eV/cell
Size of the total moment: 0.00 μB/f.u.
Relative energy among the computed polymorphs: 0.268 eV per atom
Formation energy from raw total energies: 0.057 eV/atom

Cell: 3.4902 3.4902 6.9325 Å, 90.00 90.00 90.00°
Atoms (fractional coordinates):
Sb (0.5000, 0.5000, 0.7933)
Au (0.0000, 0.0000, 0.0156)
Au (0.5000, 0.5000, 0.2343)
In (0.0000, 0.0000, 0.4568)

Record 3
InSb3Au | meta-GGA SCAN | single point on PBEsol structure

Values from the calculation:
Space-group type: Pm-3m (221)
Density of states at the Fermi level: 4.31 states/eV/cell
Size of the total moment: 0.00 μB/f.u.
Formation energy from raw total energies: 1.091 eV/atom

Cell: 5.4425 5.4425 5.4425 Å, 90.00 90.00 90.00°
Atoms (fractional coordinates):
Sb (0.5000, 0.0000, 0.0000)
Sb (0.0000, 0.5000, 0.0000)
Sb (0.0000, 0.0000, 0.5000)
In (0.0000, 0.0000, 0.0000)
Au (0.5000, 0.5000, 0.5000)

Record 4
InSbAu2 | meta-GGA SCAN | single point on PBEsol structure

Values from the calculation:
Space-group type: I4/mmm (139)
Density of states at the Fermi level: 1.50 states/eV/cell
Size of the total moment: 0.00 μB/f.u.
Relative energy among the computed polymorphs: 0.271 eV per atom
Formation energy from raw total energies: 0.060 eV/atom

Cell: 4.5370 5.1224 4.5370 Å, 63.71 90.00 116.29°
Atoms (fractional coordinates):
Au (0.7500, 0.5000, 0.7500)
Au (0.2500, 0.5000, 0.2500)
In (0.5000, 0.0000, 0.5000)
Sb (0.0000, 0.0000, 0.0000)